(1)
Below is crystalline Cr2NiPt at its relaxed geometry, with properties calculated at the PBE level.

Values from the calculation:
Crystal system: tetragonal
Density of states at the Fermi level: 1.4230 states/eV per atom
DFT total energy: -31.04 eV per cell
E_form: 0.01 eV/atom
Symmetry: P4/mmm, No. 123

POSCAR file:
```
Cr2NiPt
1.0
2.593 0.000 0.000
0.000 2.593 0.000
0.000 0.000 7.441
Cr Ni Pt
2 1 1
Direct
0.000 0.000 0.234
0.000 0.000 0.766
0.500 0.500 0.000
0.500 0.500 0.500
```

=====

(2)
Below is crystalline AlCdAu2 at its relaxed geometry, with properties calculated at the PBE level.

Values from the calculation:
ΔE to the lowest computed polymorph: 46 meV per atom
Crystal system: trigonal
Density of states at the Fermi level: 0.3295 states/eV per atom
DFT total energy: -36.29 eV per cell
E_form: -0.22 eV/atom
Symmetry: R-3m, No. 166

POSCAR file:
```
AlCdAu2
1.0
3.225 0.000 0.000
-1.612 2.793 0.000
0.000 0.000 25.262
Al Cd Au
3 3 6
Direct
0.000 0.000 0.000
0.333 0.667 0.667
0.667 0.333 0.333
0.000 0.000 0.500
0.333 0.667 0.167
0.667 0.333 0.833
0.000 0.000 0.260
0.000 0.000 0.740
0.333 0.667 0.407
0.333 0.667 0.926
0.667 0.333 0.074
0.667 0.333 0.593
```

=====

(3)
Below is crystalline Be2P at its relaxed geometry, with properties calculated at the PBE level.

Values from the calculation:
ΔE to the lowest computed polymorph: 91 meV per atom
Crystal system: trigonal
Density of states at the Fermi level: 0.2244 states/eV per atom
DFT total energy: -26.00 eV per cell
E_form: -0.05 eV/atom
Symmetry: R-3m, No. 166

POSCAR file:
```
Be2P
1.0
1.728 0.998 6.784
-1.728 0.998 6.784
0.000 -1.995 6.784
Be P
4 2
Direct
0.000 0.000 0.000
0.108 0.108 0.108
0.500 0.500 0.500
0.892 0.892 0.892
0.398 0.398 0.398
0.602 0.602 0.602
```

=====

(4)
Below is crystalline BaMgInPt2 at its relaxed geometry, with properties calculated at the PBE level.

Values from the calculation:
Crystal system: tetragonal
Density of states at the Fermi level: 0.5541 states/eV per atom
DFT total energy: -44.10 eV per cell
E_form: -0.74 eV/atom
Symmetry: I-4m2, No. 119

POSCAR file:
```
BaMgInPt2
1.0
4.470 0.000 0.000
0.000 4.470 0.000
0.000 0.000 12.011
Ba Mg In Pt
2 2 2 4
Direct
0.000 0.000 0.000
0.500 0.500 0.500
0.000 0.500 0.750
0.500 0.000 0.250
0.000 0.500 0.250
0.500 0.000 0.750
0.000 0.000 0.386
0.000 0.000 0.614
0.500 0.500 0.114
0.500 0.500 0.886
```

=====

(5)
Below is crystalline CeSm4As5 at its relaxed geometry, with properties calculated at the PBE level.

Values from the calculation:
Crystal system: orthorhombic
Density of states at the Fermi level: 0.5860 states/eV per atom
DFT total energy: -63.21 eV per cell
E_form: -1.51 eV/atom
Symmetry: Immm, No. 71

POSCAR file:
```
CeSm4As5
1.0
-2.109 2.978 10.535
2.109 -2.978 10.535
2.109 2.978 -10.535
Ce Sm As
1 4 5
Direct
0.000 0.000 0.000
0.201 0.201 0.000
0.399 0.399 0.000
0.601 0.601 0.000
0.799 0.799 0.000
0.099 0.599 0.500
0.300 0.800 0.500
0.500 0.000 0.500
0.700 0.200 0.500
0.901 0.401 0.500
```

=====

(6)
Below is crystalline K3Np2HgSe6 at its relaxed geometry, with properties calculated at the PBE level.

Values from the calculation:
Crystal system: monoclinic
Density of states at the Fermi level: 1.3403 states/eV per atom
DFT total energy: -62.97 eV per cell
ΔE_f (raw): -101.17 kJ per mole of atoms
Symmetry: C2/m, No. 12

POSCAR file:
```
K3Np2HgSe6
1.0
3.705 -6.408 0.000
3.705 6.408 0.000
-2.435 0.000 7.606
K Np Hg Se
3 2 1 6
Direct
0.000 0.000 0.000
0.340 0.660 0.000
0.660 0.340 0.000
0.168 0.832 0.500
0.832 0.168 0.500
0.500 0.500 0.500
0.082 0.431 0.294
0.221 0.221 0.702
0.431 0.082 0.294
0.569 0.918 0.706
0.779 0.779 0.298
0.918 0.569 0.706
```

=====

(7)
Below is crystalline Ta2AgCl at its relaxed geometry, with properties calculated at the PBE level.

Values from the calculation:
ΔE to the lowest computed polymorph: 1108 meV per atom
Crystal system: cubic
Density of states at the Fermi level: 1.6213 states/eV per atom
DFT total energy: -96.73 eV per cell
ΔE_f (raw): 101.78 kJ per mole of atoms
Symmetry: F-43m, No. 216

POSCAR file:
```
Ta2AgCl
1.0
6.719 0.000 0.000
0.000 6.719 0.000
0.000 0.000 6.719
Ta Ag Cl
8 4 4
Direct
0.000 0.000 0.000
0.000 0.500 0.500
0.250 0.250 0.250
0.250 0.750 0.750
0.500 0.000 0.500
0.500 0.500 0.000
0.750 0.250 0.750
0.750 0.750 0.250
0.000 0.000 0.500
0.000 0.500 0.000
0.500 0.000 0.000
0.500 0.500 0.500
0.250 0.250 0.750
0.250 0.750 0.250
0.750 0.250 0.250
0.750 0.750 0.750
```

=====

(8)
Below is crystalline LiAsRuO6 at its relaxed geometry, with properties calculated at the PBE level.

Values from the calculation:
Crystal system: trigonal
Density of states at the Fermi level: 0.5162 states/eV per atom
DFT total energy: -110.97 eV per cell
ΔE_f (raw): -106.12 kJ per mole of atoms
Symmetry: P-31c, No. 163

POSCAR file:
```
LiAsRuO6
1.0
5.021 0.000 0.000
-2.510 4.348 0.000
0.000 0.000 9.317
Li As Ru O
2 2 2 12
Direct
0.000 0.000 0.000
0.000 0.000 0.500
0.333 0.667 0.250
0.667 0.333 0.750
0.333 0.667 0.750
0.667 0.333 0.250
0.010 0.370 0.139
0.010 0.640 0.361
0.360 0.370 0.361
0.360 0.990 0.139
0.370 0.010 0.639
0.370 0.360 0.861
0.630 0.640 0.139
0.630 0.990 0.361
0.640 0.010 0.861
0.640 0.630 0.639
0.990 0.360 0.639
0.990 0.630 0.861
```

=====

(9)
Below is crystalline K3SeBr6 at its relaxed geometry, with properties calculated at the PBE level.

Values from the calculation:
Crystal system: monoclinic
Density of states at the Fermi level: 0.0703 states/eV per atom
DFT total energy: -54.32 eV per cell
ΔE_f (raw): -99.82 kJ per mole of atoms
Symmetry: P2_1/c, No. 14

POSCAR file:
```
K3SeBr6
1.0
7.900 0.000 0.000
0.000 7.883 0.000
-6.022 0.000 12.087
K Se Br
6 2 12
Direct
0.000 0.000 0.000
0.000 0.500 0.500
0.283 0.083 0.769
0.283 0.417 0.269
0.717 0.583 0.731
0.717 0.917 0.231
0.500 0.000 0.500
0.500 0.500 0.000
0.138 0.028 0.262
0.138 0.472 0.762
0.314 0.678 0.081
0.314 0.822 0.581
0.397 0.223 0.062
0.397 0.277 0.562
0.603 0.723 0.438
0.603 0.777 0.938
0.686 0.178 0.419
0.686 0.322 0.919
0.862 0.528 0.238
0.862 0.972 0.738
```

=====

(10)
Below is crystalline Ca2WBr at its relaxed geometry, with properties calculated at the PBE level.

Values from the calculation:
ΔE to the lowest computed polymorph: 603 meV per atom
Crystal system: orthorhombic
Density of states at the Fermi level: 0.7252 states/eV per atom
DFT total energy: -32.24 eV per cell
ΔE_f (raw): 60.50 kJ per mole of atoms
Symmetry: Immm, No. 71

POSCAR file:
```
Ca2WBr
1.0
3.741 0.000 0.000
0.000 6.682 0.000
0.000 0.000 9.669
Ca W Br
4 2 2
Direct
0.000 0.000 0.230
0.000 0.000 0.770
0.500 0.500 0.270
0.500 0.500 0.730
0.000 0.500 0.000
0.500 0.000 0.500
0.000 0.500 0.500
0.500 0.000 0.000
```

=====

Copy entry 7 word for word.
Below is crystalline Ta2AgCl at its relaxed geometry, with properties calculated at the PBE level.

Values from the calculation:
ΔE to the lowest computed polymorph: 1108 meV per atom
Crystal system: cubic
Density of states at the Fermi level: 1.6213 states/eV per atom
DFT total energy: -96.73 eV per cell
ΔE_f (raw): 101.78 kJ per mole of atoms
Symmetry: F-43m, No. 216

POSCAR file:
```
Ta2AgCl
1.0
6.719 0.000 0.000
0.000 6.719 0.000
0.000 0.000 6.719
Ta Ag Cl
8 4 4
Direct
0.000 0.000 0.000
0.000 0.500 0.500
0.250 0.250 0.250
0.250 0.750 0.750
0.500 0.000 0.500
0.500 0.500 0.000
0.750 0.250 0.750
0.750 0.750 0.250
0.000 0.000 0.500
0.000 0.500 0.000
0.500 0.000 0.000
0.500 0.500 0.500
0.250 0.250 0.750
0.250 0.750 0.250
0.750 0.250 0.250
0.750 0.750 0.750
```

=====

Q: Number 1 is which compound?
A: Cr2NiPt

=====

Q: What is the formula in the ninth record?
A: K3SeBr6